Below is a geometry-optimized MnAsF6 structure, with properties calculated at the PBE with a Hubbard U level.

Lattice parameters (Å, degrees): 5.6302 5.6302 5.6302 57.05 57.05 57.05
With the nearest neighbours (Å) after each atom.
Positions (direct):
Mn1 0.0000 0.0000 0.0000  6 F 2.10
As1 0.5000 0.5000 0.5000  6 F 1.93
F1 0.1641 0.7389 0.3581  1 As 1.93, 1 Mn 2.10
F2 0.2611 0.6419 0.8359  1 As 1.93, 1 Mn 2.10
F3 0.3581 0.1641 0.7389  1 As 1.93, 1 Mn 2.10
F4 0.6419 0.8359 0.2611  1 As 1.93, 1 Mn 2.10
F5 0.7389 0.3581 0.1641  1 As 1.93, 1 Mn 2.10
F6 0.8359 0.2611 0.6419  1 As 1.93, 1 Mn 2.10

Computed properties:
Raw total energy (eV/cell): -41.2